(1)
Compound: CsCe2I8
Source: Alexandria
Functional: GGA-PBE
Structure: optimized geometry

Energy relative to the lowest polymorph listed for this composition = 0 meV/atom

abc: 9.741 7.916 7.916
angles: 77.07 77.65 77.65
Element x y z (fractional)
Cs1 0.000 0.000 0.000
I1 0.374 0.695 0.072
I2 0.626 0.928 0.305
I3 0.175 0.249 0.249
I4 0.825 0.751 0.751
I5 0.374 0.072 0.695
I6 0.626 0.305 0.928
I7 0.712 0.414 0.414
I8 0.288 0.586 0.586
Ce1 0.447 0.317 0.317
Ce2 0.553 0.683 0.683

(2)
Compound: YLu2Pu
Source: Alexandria
Functional: GGA-PBE
Structure: optimized geometry

ΔH_f (0 K) = 10.2 kJ per mole of atoms
Energy relative to the lowest polymorph listed for this composition = 14 meV/atom

abc: 3.463 3.463 11.513
angles: 81.35 81.35 60.00
Element x y z (fractional)
Y1 0.500 0.500 0.500
Lu1 0.251 0.251 0.246
Lu2 0.749 0.749 0.754
Pu1 0.000 0.000 0.000

(3)
Compound: Mg2CdCu9
Source: Alexandria
Functional: GGA-PBE
Structure: optimized geometry

ΔH_f (0 K) = -2.2 kJ per mole of atoms

abc: 4.976 4.976 8.553
angles: 73.09 73.09 60.00
Element x y z (fractional)
Mg1 0.857 0.857 0.428
Mg2 0.143 0.143 0.572
Cd1 0.000 0.000 0.000
Cu1 0.667 0.667 0.000
Cu2 0.333 0.333 0.000
Cu3 0.500 0.500 0.500
Cu4 0.413 0.413 0.255
Cu5 0.919 0.413 0.255
Cu6 0.413 0.919 0.255
Cu7 0.587 0.587 0.745
Cu8 0.587 0.081 0.745
Cu9 0.081 0.587 0.745

(4)
Compound: Ac2ErMgTe5
Source: Alexandria
Functional: GGA-PBE
Structure: optimized geometry

abc: 4.497 10.023 13.736
angles: 90.00 90.00 102.96
Element x y z (fractional)
Ac1 0.867 0.734 0.809
Ac2 0.114 0.229 0.685
Ac3 0.133 0.266 0.309
Ac4 0.886 0.771 0.185
Er1 0.799 0.597 0.514
Er2 0.201 0.403 0.014
Mg1 0.557 0.113 0.952
Mg2 0.443 0.887 0.452
Te1 0.358 0.716 0.001
Te2 0.690 0.380 0.857
Te3 0.496 0.992 0.774
Te4 0.287 0.573 0.666
Te5 0.951 0.902 0.565
Te6 0.642 0.284 0.501
Te7 0.310 0.620 0.357
Te8 0.504 0.008 0.274
Te9 0.713 0.427 0.166
Te10 0.049 0.098 0.065

(5)
Compound: RbHgSeN2
Source: Alexandria
Functional: GGA-PBE
Structure: optimized geometry

Energy relative to the lowest polymorph listed for this composition = 0 meV/atom

abc: 4.781 4.781 5.474
angles: 90.00 90.00 90.00
Element x y z (fractional)
Se1 0.000 0.000 0.500
Hg1 0.000 0.000 0.000
Rb1 0.500 0.500 0.500
N1 0.000 0.500 0.000
N2 0.500 0.000 0.000

(6)
Compound: Ca2ScZnO
Source: Alexandria
Functional: GGA-PBE
Structure: optimized geometry

abc: 4.961 4.961 4.240
angles: 90.00 90.00 90.00
Element x y z (fractional)
Sc1 0.000 0.000 0.500
Zn1 0.500 0.500 0.500
Ca1 0.000 0.500 0.000
Ca2 0.500 0.000 0.000
O1 0.000 0.000 0.000

(7)
Compound: Sm5Ge3C
Source: Alexandria
Functional: GGA-PBE
Structure: optimized geometry

ΔH_f (0 K) = -62.4 kJ per mole of atoms

abc: 8.726 8.726 6.681
angles: 90.00 90.00 120.00
Element x y z (fractional)
Sm1 0.667 0.333 0.000
Sm2 0.333 0.667 0.000
Sm3 0.333 0.667 0.500
Sm4 0.667 0.333 0.500
Sm5 0.778 0.778 0.750
Sm6 0.222 0.000 0.750
Sm7 0.000 0.222 0.750
Sm8 0.222 0.222 0.250
Sm9 0.778 0.000 0.250
Sm10 0.000 0.778 0.250
Ge1 0.412 0.412 0.750
Ge2 0.588 0.000 0.750
Ge3 0.000 0.588 0.750
Ge4 0.588 0.588 0.250
Ge5 0.412 0.000 0.250
Ge6 0.000 0.412 0.250
C1 0.000 0.000 0.000
C2 0.000 0.000 0.500

(8)
Compound: Na5Tl2O4
Source: Alexandria
Functional: GGA-PBE
Structure: optimized geometry

abc: 3.481 6.211 14.804
angles: 128.91 96.75 90.00
Element x y z (fractional)
Na1 0.201 0.835 0.402
Na2 0.799 0.165 0.598
Na3 0.201 0.371 0.402
Na4 0.500 0.000 0.000
Na5 0.799 0.629 0.598
Tl1 0.071 0.715 0.143
Tl2 0.929 0.285 0.857
O1 0.726 0.678 0.452
O2 0.000 0.742 0.999
O3 0.274 0.322 0.548
O4 0.000 0.258 0.001

(9)
Compound: UTl2Ag2S4
Source: Alexandria
Functional: GGA-PBE
Structure: optimized geometry

abc: 4.116 7.724 7.816
angles: 110.78 105.27 90.00
Element x y z (fractional)
U1 0.000 0.000 0.000
Tl1 0.138 0.567 0.277
Tl2 0.862 0.433 0.723
Ag1 0.678 0.972 0.355
Ag2 0.322 0.028 0.645
S1 0.192 0.191 0.384
S2 0.808 0.809 0.616
S3 0.504 0.768 0.008
S4 0.496 0.232 0.992

(10)
Compound: RuC3
Source: Alexandria
Functional: GGA-PBE
Structure: optimized geometry

ΔH_f (0 K) = 163.6 kJ per mole of atoms
Energy relative to the lowest polymorph listed for this composition = 789 meV/atom

abc: 4.065 4.065 8.978
angles: 90.00 90.00 120.00
Element x y z (fractional)
Ru1 0.333 0.667 0.250
Ru2 0.667 0.333 0.750
C1 0.786 0.571 0.250
C2 0.429 0.214 0.250
C3 0.786 0.214 0.250
C4 0.214 0.429 0.750
C5 0.571 0.786 0.750
C6 0.214 0.786 0.750

(11)
Compound: Ca2TbP3Rh12
Source: Alexandria
Functional: GGA-PBE
Structure: optimized geometry

ΔH_f (0 K) = -28.3 kJ per mole of atoms

abc: 6.668 6.668 6.668
angles: 83.72 83.72 83.72
Element x y z (fractional)
Ca1 0.616 0.616 0.616
Ca2 0.384 0.384 0.384
Tb1 0.000 0.000 0.000
P1 0.500 0.000 0.000
P2 0.000 0.500 0.000
P3 0.000 0.000 0.500
Rh1 0.365 0.365 0.920
Rh2 0.818 0.818 0.339
Rh3 0.339 0.818 0.818
Rh4 0.920 0.365 0.365
Rh5 0.818 0.339 0.818
Rh6 0.365 0.920 0.365
Rh7 0.635 0.635 0.080
Rh8 0.182 0.182 0.661
Rh9 0.661 0.182 0.182
Rh10 0.080 0.635 0.635
Rh11 0.182 0.661 0.182
Rh12 0.635 0.080 0.635

(12)
Compound: ZnNiW
Source: Alexandria
Functional: GGA-PBE
Structure: optimized geometry

ΔH_f (0 K) = 29.5 kJ per mole of atoms
Energy relative to the lowest polymorph listed for this composition = 281 meV/atom

abc: 3.988 3.988 3.988
angles: 60.00 60.00 60.00
Element x y z (fractional)
Ni1 0.750 0.750 0.750
W1 0.000 0.000 0.000
Zn1 0.500 0.500 0.500

Number 1: raw total energy -39.468 eV per cell, DOS at the Fermi energy 0.75 states/eV per atom. Number 2: raw total energy -29.415 eV per cell, DOS at the Fermi energy 3.00 states/eV per atom. Number 3: raw total energy -41.248 eV per cell, DOS at the Fermi energy 0.55 states/eV per atom. Number 4: raw total energy -84.530 eV per cell, DOS at the Fermi energy 0.24 states/eV per atom. Number 5: raw total energy -14.518 eV per cell, DOS at the Fermi energy 0.53 states/eV per atom. Number 6: raw total energy -22.634 eV per cell, DOS at the Fermi energy 0.48 states/eV per atom. Number 7: raw total energy -104.985 eV per cell, DOS at the Fermi energy 0.95 states/eV per atom. Number 8: raw total energy -41.132 eV per cell, DOS at the Fermi energy 0.37 states/eV per atom. Number 9: raw total energy -43.919 eV per cell, DOS at the Fermi energy 0.46 states/eV per atom. Number 10: raw total energy -60.333 eV per cell, DOS at the Fermi energy 0.39 states/eV per atom. Number 11: raw total energy -118.352 eV per cell, DOS at the Fermi energy 1.00 states/eV per atom. Number 12: raw total energy -19.091 eV per cell, DOS at the Fermi energy 0.13 states/eV per atom.